Entry 1:
! KDySe2 PBE optimized geometry; values from VASP
! Crystal system: trigonal
! Calculated density (g cm⁻³): 5.01
&SYSTEM
  ibrav = 0, nat = 4, ntyp = 3
/
ATOMIC_SPECIES
Se 78.96 Se.upf
Dy 162.50 Dy.upf
K 39.10 K.upf
CELL_PARAMETERS angstrom
4.1907 0.0000 0.0000
2.0954 3.6293 0.0000
2.0954 1.2098 7.8294
ATOMIC_POSITIONS angstrom
Se 2.0954 1.2098 6.2224
Se 2.0954 1.2098 1.5790
Dy 6.2861 3.6293 7.8124
K 4.1907 2.4195 3.9598

Entry 2:
! KDySe4 PBE optimized geometry; values from VASP
! Crystal system: tetragonal
! Calculated density (g cm⁻³): 5.20
&SYSTEM
  ibrav = 0, nat = 12, ntyp = 3
/
ATOMIC_SPECIES
Se 78.96 Se.upf
K 39.10 K.upf
Dy 162.50 Dy.upf
CELL_PARAMETERS angstrom
6.2728 0.0000 0.0000
0.0000 6.2728 0.0000
0.0000 0.0000 8.3975
ATOMIC_POSITIONS angstrom
Se 0.8613 2.2751 6.6669
K 0.0000 0.0000 4.1987
Se 3.9977 5.4114 1.7306
Se 0.8613 3.9977 1.7306
Se 5.4114 3.9977 6.6669
Se 2.2751 0.8613 1.7306
Dy 0.0000 0.0000 0.0000
Se 3.9977 0.8613 6.6669
Dy 3.1364 3.1364 0.0000
Se 5.4114 2.2751 1.7306
K 3.1364 3.1364 4.1987
Se 2.2751 5.4114 6.6669

Entry 3:
! KDy4Se6 PBE optimized geometry; values from VASP
! Crystal system: orthorhombic
! Calculated density (g cm⁻³): 6.30
&SYSTEM
  ibrav = 0, nat = 22, ntyp = 3
/
ATOMIC_SPECIES
Se 78.96 Se.upf
K 39.10 K.upf
Dy 162.50 Dy.upf
CELL_PARAMETERS angstrom
4.1234 0.0000 0.0000
-2.0617 6.8433 0.0000
0.0000 0.0000 21.7173
ATOMIC_POSITIONS angstrom
Se 2.0617 3.7198 1.7441
Se 2.0617 2.2249 16.2880
K 2.0617 2.1306 5.4293
Se 2.0617 6.3120 18.3671
Dy 2.0617 5.0282 20.8229
Se 0.0000 3.1235 12.6027
Se 0.0000 0.5313 7.5084
Dy 2.0617 1.3247 13.7466
Se 0.0000 4.6184 5.4293
Se 2.0617 0.0000 10.8587
Dy 0.0000 5.5185 2.8880
Se 2.0617 6.3120 14.2090
Dy 0.0000 1.8151 9.9642
Dy 2.0617 5.0282 11.7531
Dy 2.0617 1.3247 18.8294
Se 2.0617 0.0000 0.0000
Se 2.0617 3.7198 9.1146
Se 0.0000 3.1235 19.9733
Dy 0.0000 1.8151 0.8944
Se 0.0000 0.5313 3.3503
Dy 0.0000 5.5185 7.9707
K 0.0000 4.7127 16.2880

Entry 4:
! K2DySiSe4 PBE optimized geometry; values from VASP
! Crystal system: orthorhombic
! Calculated density (g cm⁻³): 4.47
&SYSTEM
  ibrav = 0, nat = 16, ntyp = 4
/
ATOMIC_SPECIES
K 39.10 K.upf
Se 78.96 Se.upf
Si 28.09 Si.upf
Dy 162.50 Dy.upf
CELL_PARAMETERS angstrom
8.5014 -0.0020 -0.1374
-0.0079 8.5014 -0.1374
-4.2614 -4.2644 6.1468
ATOMIC_POSITIONS angstrom
K 2.1200 -2.1332 3.0047
Se -2.4502 2.2301 5.8783
Si 4.2399 -4.2664 6.0094
Se 1.8282 2.0120 0.2254
Si 2.1160 2.1175 2.9361
Se 4.1267 3.9472 3.1614
K -2.1307 -2.1322 3.0734
Se 6.6823 2.0049 -0.0062
Dy -0.0040 4.2507 -0.0686
Se 0.1053 0.2879 2.7107
K 4.2507 -0.0009 -0.0687
Se 2.4037 2.2230 5.6467
Se 0.1079 3.9351 2.8049
Dy 6.3667 2.1165 2.8673
Se 4.1241 0.2998 3.0672
K 4.2467 4.2497 -0.1374

Entry 5:
! KSmDy4Se8 PBE optimized geometry; values from VASP
! Crystal system: trigonal
! Calculated density (g cm⁻³): 5.41
&SYSTEM
  ibrav = 0, nat = 14, ntyp = 4
/
ATOMIC_SPECIES
Dy 162.50 Dy.upf
K 39.10 K.upf
Se 78.96 Se.upf
Sm 150.36 Sm.upf
CELL_PARAMETERS angstrom
8.5764 0.0000 0.0000
4.2882 7.4274 0.0000
4.2882 2.4758 7.0931
ATOMIC_POSITIONS angstrom
Dy 4.2882 4.8599 3.5799
Dy 6.3529 1.2837 3.5799
K 8.5764 4.9516 6.2590
Se 12.8646 7.4274 5.1600
Se 10.8311 6.2534 1.8501
Se 4.2882 2.4758 2.1186
Se 8.5764 7.7065 5.1687
Dy 8.5764 4.9516 0.8752
Dy 2.2234 1.2837 3.5799
Se 8.5764 2.3480 1.8501
Se 6.1905 3.5741 5.1687
Se 10.9622 3.5741 5.1687
Sm 4.2882 2.4758 6.9895
Se 6.3216 6.2534 1.8501

Entry 6:
! KSmDy2Se4 PBE optimized geometry; values from VASP
! Crystal system: monoclinic
! Calculated density (g cm⁻³): 6.56
&SYSTEM
  ibrav = 0, nat = 8, ntyp = 4
/
ATOMIC_SPECIES
Se 78.96 Se.upf
K 39.10 K.upf
Dy 162.50 Dy.upf
Sm 150.36 Sm.upf
CELL_PARAMETERS angstrom
4.1261 0.0000 0.0000
0.0000 7.3467 -0.2200
0.0000 2.5138 6.8601
ATOMIC_POSITIONS angstrom
Se 2.0631 3.6014 5.2042
Se 0.0001 7.4969 4.9863
K 0.0000 4.9302 3.3201
Dy 0.0000 2.5138 6.8601
Se 4.1261 2.3636 1.6538
Se 2.0631 6.2591 1.4359
Dy 2.0631 1.2569 3.4300
Sm 2.0631 3.6734 -0.1100

Entry 7:
! K3Dy3SnSe8 PBE optimized geometry; values from VASP
! Crystal system: trigonal
! Calculated density (g cm⁻³): 4.82
&SYSTEM
  ibrav = 0, nat = 15, ntyp = 4
/
ATOMIC_SPECIES
Se 78.96 Se.upf
K 39.10 K.upf
Sn 118.71 Sn.upf
Dy 162.50 Dy.upf
CELL_PARAMETERS angstrom
8.2854 -0.0002 0.0000
-4.1429 7.1751 -0.0289
0.0002 -4.7519 7.8721
ATOMIC_POSITIONS angstrom
Se 6.2885 -1.2295 2.3659
Se -2.1458 3.6525 5.4772
K 2.0713 3.5874 -0.0145
Se 0.0000 2.4010 2.3205
Se 4.1427 2.4867 2.3509
Se 1.9970 -1.2294 2.3660
Se 2.1457 3.6524 5.4772
Se 4.1427 0.0220 5.5227
Sn 0.0001 -2.3759 3.9360
Dy 2.0714 1.2115 3.9216
Dy 4.1428 -2.3760 3.9361
Dy -2.0714 1.2116 3.9216
Se 0.0000 -0.0637 5.4923
K 0.0000 0.0000 0.0000
K -2.0714 3.5876 -0.0145

Entry 8:
! KDySnSe3 PBE optimized geometry; values from VASP
! Crystal system: orthorhombic
! Calculated density (g cm⁻³): 4.47
&SYSTEM
  ibrav = 0, nat = 12, ntyp = 4
/
ATOMIC_SPECIES
Se 78.96 Se.upf
K 39.10 K.upf
Sn 118.71 Sn.upf
Dy 162.50 Dy.upf
CELL_PARAMETERS angstrom
4.1209 0.0000 0.0000
-2.0604 8.5023 0.0000
0.0000 0.0000 11.8144
ATOMIC_POSITIONS angstrom
Se 2.0604 1.9618 0.0313
K 2.0604 3.0171 8.8608
Sn 2.0604 2.0189 2.9536
Se 0.0000 0.1469 2.9536
K 0.0000 5.4853 2.9536
Se 0.0000 6.5405 11.7831
Sn 0.0000 6.4835 8.8608
Se 0.0000 6.5405 5.9385
Se 2.0604 8.3554 8.8608
Dy 0.0000 0.0000 5.9072
Se 2.0604 1.9618 5.8759
Dy 0.0000 0.0000 0.0000

Entry 9:
! K4Dy3SnSe8 PBE optimized geometry; values from VASP
! Crystal system: trigonal
! Calculated density (g cm⁻³): 4.89
&SYSTEM
  ibrav = 0, nat = 16, ntyp = 4
/
ATOMIC_SPECIES
Se 78.96 Se.upf
K 39.10 K.upf
Dy 162.50 Dy.upf
Sn 118.71 Sn.upf
CELL_PARAMETERS angstrom
8.4410 0.0000 0.0000
0.0000 9.0829 0.4444
-4.2205 -4.2167 5.9719
ATOMIC_POSITIONS angstrom
Se 0.0000 0.4407 3.2926
K 0.0000 0.0000 0.0000
Se -2.1045 2.3070 6.0984
Se 4.2205 0.4565 3.2965
Dy 2.1102 2.4331 3.2081
Se 2.1045 2.3070 6.0984
K 2.1102 -2.1084 2.9860
Dy -2.1102 2.4331 3.2081
Dy 4.2205 4.5415 0.2222
Se 0.0000 4.4097 3.1197
K -2.1102 -2.1084 2.9860
Se 4.2205 4.4256 3.1237
K 4.2205 0.0000 0.0000
Sn 0.0000 4.5415 0.2222
Se 2.1160 2.5593 0.3179
Se 6.3250 2.5593 0.3179

Entry 10:
! K2Dy2SnSe6 PBE optimized geometry; values from VASP
! Crystal system: monoclinic
! Calculated density (g cm⁻³): 4.76
&SYSTEM
  ibrav = 0, nat = 11, ntyp = 4
/
ATOMIC_SPECIES
Se 78.96 Se.upf
K 39.10 K.upf
Sn 118.71 Sn.upf
Dy 162.50 Dy.upf
CELL_PARAMETERS angstrom
-0.8679 -3.7395 -5.9837
-3.4950 -1.8867 5.8964
-4.5667 6.5958 -2.0385
ATOMIC_POSITIONS angstrom
Se -5.1515 -2.0589 1.2298
Se -6.4508 0.3731 -1.4847
K -1.3116 -3.4266 -3.9772
K -3.0513 -2.1996 3.8899
Se -3.7781 3.0284 -3.3557
Se -4.3075 -2.6541 -2.5866
Se -4.6221 3.6236 0.4607
Se -2.4788 0.5964 -0.6412
Sn -2.2834 3.2979 -1.0193
Dy -4.9075 0.7970 0.9389
Dy -4.0221 0.1726 -3.0648

Entry 11:
! KDy2Sn3Se6 PBE optimized geometry; values from VASP
! Crystal system: monoclinic
! Calculated density (g cm⁻³): 5.71
&SYSTEM
  ibrav = 0, nat = 12, ntyp = 4
/
ATOMIC_SPECIES
Se 78.96 Se.upf
Dy 162.50 Dy.upf
Sn 118.71 Sn.upf
K 39.10 K.upf
CELL_PARAMETERS angstrom
-0.5124 3.4089 -2.2185
-8.3146 1.3077 3.9297
5.6707 2.9608 7.0275
ATOMIC_POSITIONS angstrom
Se -0.0649 3.6718 5.6571
Dy -2.1878 5.6514 5.4018
Se -1.0486 7.1496 7.4408
Dy -0.9685 2.0261 3.3370
Sn 1.9797 5.0780 3.5582
Se -3.8515 4.0800 7.1589
Sn -4.4135 2.3583 0.8556
Se 0.6952 3.5975 1.5799
Se -2.1077 0.5279 1.2979
Se -3.0914 4.0057 3.0816
K -0.2562 1.7045 -1.1092
Sn -5.1360 2.5995 5.1805

Entry 12:
! K3Dy3TaSe8 PBE optimized geometry; values from VASP
! Crystal system: trigonal
! Calculated density (g cm⁻³): 5.19
&SYSTEM
  ibrav = 0, nat = 15, ntyp = 4
/
ATOMIC_SPECIES
K 39.10 K.upf
Se 78.96 Se.upf
Dy 162.50 Dy.upf
Ta 180.95 Ta.upf
CELL_PARAMETERS angstrom
-6.3617 2.6982 4.3232
3.8672 -6.8130 2.2583
4.4060 7.8934 1.5556
ATOMIC_POSITIONS angstrom
K 1.9336 -3.4065 1.1291
Se -0.1181 2.9005 1.5949
Se 0.2563 4.3534 5.3438
Se 5.4283 -0.5635 4.2327
Se 2.0295 0.8781 6.5423
Se -1.4513 0.7023 5.1099
Dy 4.1366 0.5402 1.9070
Se 3.3627 3.0762 3.0273
Ta 2.2030 3.9467 0.7778
Se 1.6552 -0.5749 2.7934
Dy 0.9557 1.8893 4.0686
Se -3.5168 4.3421 3.9045
Dy -0.9779 5.2958 2.9394
K -1.2472 -2.0574 3.2908
K 0.0000 0.0000 0.0000

Entry 13:
! K3TbDy2Se6 PBE optimized geometry; values from VASP
! Crystal system: monoclinic
! Calculated density (g cm⁻³): 5.03
&SYSTEM
  ibrav = 0, nat = 12, ntyp = 4
/
ATOMIC_SPECIES
Se 78.96 Se.upf
Dy 162.50 Dy.upf
Tb 158.93 Tb.upf
K 39.10 K.upf
CELL_PARAMETERS angstrom
-5.2510 -2.5995 4.3652
0.5757 -2.4270 -6.8676
6.2852 -3.9002 3.2004
ATOMIC_POSITIONS angstrom
Se -0.7850 -2.0144 1.9458
Dy -1.3663 -2.4845 -3.1239
Se 0.4463 -6.9699 2.5085
Tb 0.0000 0.0000 0.0000
K 0.8049 -4.4633 0.3490
K -1.1396 -4.5209 4.0976
Se -2.1413 -4.4900 -1.1797
K 2.7494 -4.4058 -3.3996
Dy -3.3091 -2.5420 0.6215
Se 3.7511 -4.4367 1.8777
Se 2.3948 -6.9123 -1.2478
Se 1.1635 -1.9567 -1.8105

Entry 14:
! K3Tb3DySe8 PBE optimized geometry; values from VASP
! Crystal system: trigonal
! Calculated density (g cm⁻³): 4.87
&SYSTEM
  ibrav = 0, nat = 15, ntyp = 4
/
ATOMIC_SPECIES
Tb 158.93 Tb.upf
K 39.10 K.upf
Se 78.96 Se.upf
Dy 162.50 Dy.upf
CELL_PARAMETERS angstrom
8.3386 0.0006 0.0001
-4.1687 7.2268 -0.0309
-0.0002 -4.7885 7.8700
ATOMIC_POSITIONS angstrom
Tb 4.1692 -2.3939 3.9351
K 2.0849 3.6137 -0.0154
Tb -2.0845 1.2191 3.9196
Se 4.1696 2.4223 2.3244
Se 2.0886 3.6369 5.4995
Se -2.0878 3.6365 5.4997
Se 6.2574 -1.1976 2.3395
Tb 2.0848 1.2194 3.9196
Dy -0.0001 -2.3943 3.9350
K -2.0844 3.6134 -0.0155
K 0.0000 0.0000 0.0000
Se 4.1694 0.0213 5.5424
Se 2.0810 -1.1980 2.3397
Se 0.0002 2.4176 2.2969
Se 0.0000 0.0166 5.5148

Entry 15:
! KTb2DySe4 PBE optimized geometry; values from VASP
! Crystal system: monoclinic
! Calculated density (g cm⁻³): 6.68
&SYSTEM
  ibrav = 0, nat = 8, ntyp = 4
/
ATOMIC_SPECIES
Tb 158.93 Tb.upf
Dy 162.50 Dy.upf
K 39.10 K.upf
Se 78.96 Se.upf
CELL_PARAMETERS angstrom
4.1167 0.0000 0.0000
0.0000 7.2866 -0.2058
0.0000 2.5044 6.8542
ATOMIC_POSITIONS angstrom
Tb 2.0584 1.2522 3.4271
Dy 0.0000 4.8955 3.3242
K 2.0584 6.1477 6.7513
Tb 0.0000 2.5044 6.8542
Se 2.0584 6.1462 1.6097
Se 4.1167 2.3747 1.7849
Se 2.0584 3.6449 5.0387
Se 0.0001 7.4164 4.8635

Entry 16:
! K4Tb3DySe8 PBE optimized geometry; values from VASP
! Crystal system: trigonal
! Calculated density (g cm⁻³): 4.98
&SYSTEM
  ibrav = 0, nat = 16, ntyp = 4
/
ATOMIC_SPECIES
Dy 162.50 Dy.upf
Tb 158.93 Tb.upf
Se 78.96 Se.upf
K 39.10 K.upf
CELL_PARAMETERS angstrom
-6.5278 -4.6809 2.6300
4.9622 -2.9671 7.0356
-0.8924 8.3538 -0.9286
ATOMIC_POSITIONS angstrom
Dy 2.4811 -1.4835 3.5178
Tb -0.7828 -3.8240 4.8328
Se -0.2868 -1.8658 2.7387
Se -4.0076 -0.0241 3.5918
Se -1.7174 -1.6043 6.4637
K 0.0000 0.0000 0.0000
Tb -1.2290 0.3529 4.3685
K -3.2639 -2.3405 1.3150
Se 1.5495 0.7300 5.1452
K -3.7101 1.8364 0.8507
Se -3.5601 -4.2130 4.0574
K -0.4462 4.1769 -0.4643
Se -0.7406 2.3101 2.2733
Tb 2.0349 2.6934 3.0535
Se 1.1020 4.9188 4.6796
Se -2.1712 2.5717 5.9983

Entry 17:
! K3TbDy3Se8 PBE optimized geometry; values from VASP
! Crystal system: monoclinic
! Calculated density (g cm⁻³): 4.93
&SYSTEM
  ibrav = 0, nat = 15, ntyp = 4
/
ATOMIC_SPECIES
Se 78.96 Se.upf
K 39.10 K.upf
Dy 162.50 Dy.upf
Tb 158.93 Tb.upf
CELL_PARAMETERS angstrom
8.3139 0.0006 0.0003
-4.1564 7.2066 -0.0293
-0.0001 -4.7752 7.8668
ATOMIC_POSITIONS angstrom
Se 2.0897 -1.1865 2.3375
K -2.0782 3.6033 -0.0147
Dy 4.1569 -2.3873 3.9335
Se 0.0002 2.4107 2.3045
Se -2.0667 3.6180 5.5003
Tb 0.0000 -2.3876 3.9334
Se 6.2241 -1.1860 2.3374
Se 4.1572 0.0213 5.5332
Se 0.0001 0.0338 5.5146
Se 2.0677 3.6184 5.5002
Dy 2.0787 1.2160 3.9189
K 0.0000 0.0000 0.0000
Dy -2.0782 1.2157 3.9187
Se 4.1572 2.3981 2.3232
K 2.0787 3.6036 -0.0145

Entry 18:
! K2TbDySe4 PBE optimized geometry; values from VASP
! Crystal system: monoclinic
! Calculated density (g cm⁻³): 5.01
&SYSTEM
  ibrav = 0, nat = 8, ntyp = 4
/
ATOMIC_SPECIES
Se 78.96 Se.upf
Tb 158.93 Tb.upf
K 39.10 K.upf
Dy 162.50 Dy.upf
CELL_PARAMETERS angstrom
-1.7432 3.1283 2.2367
-6.5848 -1.7938 -2.6231
1.1512 -4.2067 6.7808
ATOMIC_POSITIONS angstrom
Se -4.9869 -3.1476 4.5009
Tb 0.0000 0.0000 0.0000
K -0.2960 -0.5392 4.5087
Se -2.1899 0.2753 1.8934
Se -4.5974 -2.1801 -0.5340
K -2.7168 -3.0003 2.0788
Se -0.8362 -3.8204 4.6916
Dy -4.1640 0.6672 -0.1932

Entry 19:
! KTbDy4Se8 PBE optimized geometry; values from VASP
! Crystal system: trigonal
! Calculated density (g cm⁻³): 5.49
&SYSTEM
  ibrav = 0, nat = 14, ntyp = 4
/
ATOMIC_SPECIES
Se 78.96 Se.upf
K 39.10 K.upf
Dy 162.50 Dy.upf
Tb 158.93 Tb.upf
CELL_PARAMETERS angstrom
-5.5213 -5.8361 3.0064
-0.2318 -7.8557 -3.4377
2.8993 -6.7339 4.4903
ATOMIC_POSITIONS angstrom
Se -0.6847 -9.0144 -0.7592
Se 0.6411 -12.5633 1.2648
Se -2.2494 -15.2702 2.9394
K 0.3907 -11.0317 3.7781
Se -3.4848 -7.9453 2.6520
Se -2.3225 -11.4318 4.8753
Se -0.4869 -5.2085 1.2327
Se 0.7710 -8.1619 3.1909
Dy 1.4365 -3.4639 2.2648
Dy -1.2195 -6.2714 3.7110
Dy -3.2355 -9.3981 0.2896
Se -3.6075 -12.1038 0.8323
Tb 2.8286 -6.7021 4.4223
Dy 1.3250 -7.2429 0.6111

Entry 20:
! KDyTeSe PBE optimized geometry; values from VASP
! Crystal system: trigonal
! Calculated density (g cm⁻³): 5.13
&SYSTEM
  ibrav = 0, nat = 4, ntyp = 4
/
ATOMIC_SPECIES
Te 127.60 Te.upf
Dy 162.50 Dy.upf
Se 78.96 Se.upf
K 39.10 K.upf
CELL_PARAMETERS angstrom
-3.7999 0.6056 1.9599
0.3150 -2.7846 -3.2858
4.1835 -5.4820 5.0491
ATOMIC_POSITIONS angstrom
Te 0.2055 -3.0022 -2.5327
Dy 2.6265 -6.0163 3.0942
Se 0.9282 -3.7684 3.8639
K -2.0163 -2.5285 2.5273

Number 1: electronic total energy -0.180 Ha/atom. Number 2: electronic total energy -0.163 Ha/atom. Number 3: electronic total energy -0.200 Ha/atom. Number 4: electronic total energy -0.158 Ha/atom. Number 5: electronic total energy -0.201 Ha/atom. Number 6: electronic total energy -0.196 Ha/atom. Number 7: electronic total energy -0.174 Ha/atom. Number 8: electronic total energy -0.167 Ha/atom. Number 9: electronic total energy -0.170 Ha/atom. Number 10: electronic total energy -0.171 Ha/atom. Number 11: electronic total energy -0.170 Ha/atom. Number 12: electronic total energy -0.195 Ha/atom. Number 13: electronic total energy -0.181 Ha/atom. Number 14: electronic total energy -0.183 Ha/atom. Number 15: electronic total energy -0.196 Ha/atom. Number 16: electronic total energy -0.181 Ha/atom. Number 17: electronic total energy -0.183 Ha/atom. Number 18: electronic total energy -0.181 Ha/atom. Number 19: electronic total energy -0.201 Ha/atom. Number 20: electronic total energy -0.170 Ha/atom.